VASP calculation (PBE) on crystalline ThNpRh2 at its relaxed geometry.

a = 6.664 Å, b = 6.664 Å, c = 6.664 Å
α = 36.13°, β = 36.13°, γ = 36.13°
Positions (direct):
Th  0.000  0.000  0.000
Np  0.500  0.500  0.500
Rh  0.241  0.241  0.241
Rh  0.759  0.759  0.759

Output
DFT formation energy	-0.498	eV per atom
crystal system	trigonal
energy above the most stable polymorph in this dataset	0.000	eV per atom
DOS(E_F)	8.0	states/eV/cell